Record 1
# TbGaF6 (PBE-GGA, optimized geometry)
data_TbGaF6
_cell_length_a 5.3576
_cell_length_b 8.2516
_cell_length_c 5.1439
_cell_angle_alpha 90.00
_cell_angle_beta 101.82
_cell_angle_gamma 90.00
_space_group_name_H-M_alt 'C 1 2/m 1'
_space_group_IT_number 12
_space_group_name_Hall '-C 2y'
loop_
_atom_site_label
_atom_site_fract_x
_atom_site_fract_y
_atom_site_fract_z
Tb1 0.0000 0.0000 0.0000
Ga1 0.0000 0.5000 0.5000
F1 0.1966 0.3466 0.7446
F2 0.2393 0.0000 0.7034
# formation energy from raw total energies	-26.4	eV/f.u.
# total magnetic moment	0.00	μB/atom

---

Record 2
# BeCdTc (PBE-GGA, optimized geometry)
data_BeCdTc
_cell_length_a 3.2390
_cell_length_b 4.3685
_cell_length_c 12.5474
_cell_angle_alpha 90.00
_cell_angle_beta 90.00
_cell_angle_gamma 90.00
_space_group_name_H-M_alt 'F m m 2'
_space_group_IT_number 42
_space_group_name_Hall 'F 2 -2'
loop_
_atom_site_label
_atom_site_fract_x
_atom_site_fract_y
_atom_site_fract_z
Be1 0.0000 0.0000 0.0000
Cd1 0.0000 0.0000 0.6743
Tc1 0.0000 0.0000 0.3674
# ΔE_f	0.376	eV/atom
# energy above the most stable polymorph in this dataset	49	meV/atom
# total magnetic moment	0.00	μB/atom

---

Record 3
# Tm4BeNi3 (PBE-GGA, optimized geometry)
data_Tm4BeNi3
_cell_length_a 3.6727
_cell_length_b 4.1164
_cell_length_c 10.2141
_cell_angle_alpha 90.00
_cell_angle_beta 90.00
_cell_angle_gamma 90.00
_space_group_name_H-M_alt 'P m m 2'
_space_group_IT_number 25
_space_group_name_Hall 'P 2 -2'
loop_
_atom_site_label
_atom_site_fract_x
_atom_site_fract_y
_atom_site_fract_z
Tm1 0.0000 0.0000 0.0000
Tm2 0.0000 0.5000 0.2765
Tm3 0.5000 0.0000 0.4946
Tm4 0.5000 0.5000 0.7789
Be1 0.0000 0.0000 0.6984
Ni1 0.0000 0.5000 0.5798
Ni2 0.5000 0.0000 0.2126
Ni3 0.5000 0.5000 0.0651
# ΔE_f	-0.383	eV/atom
# total magnetic moment	0.00	μB/atom